Computed, not measured: a relaxed Pa3MnGe2 crystal at the PBE level of DFT.

DFT formation energy (kJ per mole of atoms): -37.70

```
data_Pa3MnGe2
_chemical_formula_sum 'Pa12 Mn4 Ge8'
_cell_length_a 11.881
_cell_length_b 4.147
_cell_length_c 10.178
_cell_angle_alpha 90.00
_cell_angle_beta 90.00
_cell_angle_gamma 90.00
_symmetry_space_group_name_H-M 'P n m a'
_symmetry_Int_Tables_number 62
_symmetry_space_group_name_Hall '-P 2ac 2n'
loop_
_atom_site_label
_atom_site_type_symbol
_atom_site_fract_x
_atom_site_fract_y
_atom_site_fract_z
Pa1 Pa 0.050 0.250 0.100
Pa2 Pa 0.126 0.750 0.557
Pa3 Pa 0.240 0.250 0.766
Mn1 Mn 0.117 0.250 0.345
Ge1 Ge 0.005 0.750 0.299
Ge2 Ge 0.201 0.750 0.977
```